The following is a DFT calculation (PBE+U) of an optimized crystal structure of LiCoPO4.

Computed properties:
uncorrected energy = -184.66 eV for the cell shown
excess energy over the best structure of this formula in the dataset = 50.9 meV/atom
theoretical density = 3.51 Mg/m³
DOS at the Fermi energy = 0.00 states/eV per cell

The structure in CIF format:
```
data_LiCoPO4
_chemical_formula_sum 'Li4 Co4 P4 O16'
_symmetry_space_group_name_H-M 'P 1'
_symmetry_Int_Tables_number 1
_cell_length_a 10.358
_cell_length_b 6.222
_cell_length_c 4.722
_cell_angle_alpha 90.00
_cell_angle_beta 90.00
_cell_angle_gamma 90.00
loop_
_symmetry_equiv_pos_as_xyz
'x,y,z'
loop_
_atom_site_label
_atom_site_type_symbol
_atom_site_fract_x
_atom_site_fract_y
_atom_site_fract_z
_atom_site_occupancy
Li1 Li 0.215 0.250 0.007 1
Li2 Li 0.285 0.750 0.507 1
Li3 Li 0.715 0.250 0.493 1
Li4 Li 0.785 0.750 0.993 1
Co1 Co 0.000 0.000 0.500 1
Co2 Co 0.000 0.500 0.500 1
Co3 Co 0.500 0.000 0.000 1
Co4 Co 0.500 0.500 0.000 1
P1 P 0.093 0.750 0.084 1
P2 P 0.407 0.250 0.584 1
P3 P 0.593 0.750 0.416 1
P4 P 0.907 0.250 0.916 1
O1 O 0.048 0.250 0.778 1
O2 O 0.085 0.750 0.754 1
O3 O 0.157 0.545 0.204 1
O4 O 0.157 0.955 0.204 1
O5 O 0.343 0.045 0.704 1
O6 O 0.343 0.455 0.704 1
O7 O 0.415 0.250 0.254 1
O8 O 0.452 0.750 0.278 1
O9 O 0.548 0.250 0.722 1
O10 O 0.585 0.750 0.746 1
O11 O 0.657 0.545 0.296 1
O12 O 0.657 0.955 0.296 1
O13 O 0.843 0.045 0.796 1
O14 O 0.843 0.455 0.796 1
O15 O 0.915 0.250 0.246 1
O16 O 0.952 0.750 0.222 1
```